! Dy2Tl5F12 PBE optimized geometry; values from VASP
! Formation energy from raw total energies in eV per atom: -2.74
! N(E_F) in states/eV/cell: 2.5
! Space-group type: C2/m, No. 12
! Size of the total moment in μB per atom: 0.05
! V in Å³/cell: 370.8
! E in eV for the cell shown: -95.516
&SYSTEM
  ibrav = 0, nat = 19, ntyp = 3
/
ATOMIC_SPECIES
F 19.00 F.upf
Tl 204.38 Tl.upf
Dy 162.50 Dy.upf
CELL_PARAMETERS angstrom
-2.848 -5.435 1.774
6.705 -3.583 3.345
1.701 0.593 8.108
ATOMIC_POSITIONS angstrom
F 2.909 -6.531 4.587
F 1.541 -1.185 5.342
F 5.719 -4.456 5.719
F 3.780 -2.597 6.248
F -0.160 -3.970 7.508
F 2.650 -1.894 8.640
F 3.504 -2.823 3.474
F -1.884 -4.759 2.194
F 2.055 -5.603 9.754
F 1.779 -5.828 6.979
F 4.017 -7.240 7.886
F 7.442 -3.667 11.034
Tl 1.604 -3.763 4.985
Tl 3.674 -7.707 10.617
Tl 3.955 -4.663 8.243
Tl 1.885 -0.719 2.610
Tl -1.424 -2.718 0.887
Dy 5.408 -2.501 4.580
Dy 2.998 -0.490 6.874